Record 1
DFT (GGA-PBE) results for a geometry-optimized DyScRe structure.

Geometry as POSCAR:
```
DyScRe
1.0
0.000 3.261 3.261
3.261 0.000 3.261
3.261 3.261 0.000
Dy Re Sc
1 1 1
Direct
0.250 0.250 0.250
0.750 0.750 0.750
0.000 0.000 0.000
```

Results
energy of formation from the pure elements: 938 meV/atom
total DFT energy (no corrections): -6.8458 eV per atom
space-group type: F-43m, No. 216
energy relative to the lowest polymorph listed for this composition: 0 meV/atom
ρ: 9.43 g/cm3

---

Record 2
DFT (GGA-PBE) results for a geometry-optimized DyScRe structure.

Geometry as POSCAR:
```
DyScRe
1.0
0.000 3.278 3.278
3.278 0.000 3.278
3.278 3.278 0.000
Dy Re Sc
1 1 1
Direct
0.000 0.000 0.000
0.250 0.250 0.250
0.750 0.750 0.750
```

Results
energy of formation from the pure elements: 1169 meV/atom
total DFT energy (no corrections): -6.6152 eV per atom
space-group type: F-43m, No. 216
energy relative to the lowest polymorph listed for this composition: 231 meV/atom
ρ: 9.28 g/cm3

---

Record 3
DFT (GGA-PBE) results for a geometry-optimized Dy3Sc3ReTe2 structure.

Geometry as POSCAR:
```
Dy3Sc3ReTe2
1.0
-4.814 -4.254 4.900
7.957 0.256 1.379
-0.501 3.209 2.294
Dy Re Sc Te
3 1 3 2
Direct
0.755 0.000 0.500
0.245 0.245 0.500
0.000 0.755 0.500
0.000 0.000 0.000
0.385 0.000 0.000
0.000 0.385 0.000
0.615 0.615 0.000
0.667 0.333 0.500
0.333 0.667 0.500
```

Results
total DFT energy (no corrections): -6.2396 eV per atom
space-group type: P-62m, No. 189
energy relative to the lowest polymorph listed for this composition: 180 meV/atom
ρ: 7.86 g/cm3

---

Record 4
DFT (GGA-PBE) results for a geometry-optimized Dy3Sc3ReTe2 structure.

Geometry as POSCAR:
```
Dy3Sc3ReTe2
1.0
7.912 0.000 0.000
-3.956 6.852 0.000
0.000 0.000 4.081
Dy Re Sc Te
3 1 3 2
Direct
0.390 0.000 0.000
0.000 0.390 0.000
0.610 0.610 0.000
0.000 0.000 0.000
0.770 0.000 0.500
0.230 0.230 0.500
0.000 0.770 0.500
0.667 0.333 0.500
0.333 0.667 0.500
```

Results
total DFT energy (no corrections): -6.4192 eV per atom
space-group type: P-62m, No. 189
energy relative to the lowest polymorph listed for this composition: 0 meV/atom
ρ: 7.98 g/cm3

---

Record 5
DFT (GGA-PBE) results for a geometry-optimized DyReSi structure.

Geometry as POSCAR:
```
DyReSi
1.0
-3.233 -2.756 -1.086
-2.220 -2.119 3.132
-4.168 1.071 0.840
Dy Re Si
1 1 1
Direct
0.250 0.250 0.250
0.750 0.750 0.750
0.000 0.000 0.000
```

Results
total DFT energy (no corrections): -7.3777 eV per atom
space-group type: F-43m, No. 216
ρ: 10.50 g/cm3

---

Record 6
DFT (GGA-PBE) results for a geometry-optimized DyReSi structure.

Geometry as POSCAR:
```
DyReSi
1.0
1.218 -2.869 -3.372
0.233 -4.515 0.800
-3.114 -2.823 -1.849
Dy Re Si
1 1 1
Direct
0.000 0.000 0.000
0.250 0.250 0.250
0.750 0.750 0.750
```

Results
total DFT energy (no corrections): -6.2037 eV per atom
space-group type: F-43m, No. 216
ρ: 9.14 g/cm3

---

Record 7
DFT (GGA-PBE) results for a geometry-optimized DyTmReSi2 structure.

Geometry as POSCAR:
```
DyTmReSi2
1.0
0.390 2.590 5.163
-2.901 3.983 3.040
-3.861 -9.197 -0.050
Dy Re Si Tm
2 2 4 2
Direct
0.812 0.812 0.388
0.188 0.188 0.612
0.272 0.272 0.129
0.728 0.728 0.871
0.637 0.637 0.057
0.502 0.502 0.376
0.498 0.498 0.624
0.363 0.363 0.943
0.008 0.008 0.178
0.992 0.992 0.822
```

Results
total DFT energy (no corrections): -7.1456 eV per atom
space-group type: C2/m, No. 12
ρ: 9.67 g/cm3

---

Record 8
DFT (GGA-PBE) results for a geometry-optimized SmDyRe structure.

Geometry as POSCAR:
```
SmDyRe
1.0
0.000 3.393 3.393
3.393 0.000 3.393
3.393 3.393 0.000
Dy Re Sm
1 1 1
Direct
0.000 0.000 0.000
0.250 0.250 0.250
0.750 0.750 0.750
```

Results
energy of formation from the pure elements: 1126 meV/atom
total DFT energy (no corrections): -6.1190 eV per atom
space-group type: F-43m, No. 216
energy relative to the lowest polymorph listed for this composition: 0 meV/atom
ρ: 10.61 g/cm3

---

Record 9
DFT (GGA-PBE) results for a geometry-optimized DyReSn structure.

Geometry as POSCAR:
```
DyReSn
1.0
0.000 3.389 3.389
3.389 0.000 3.389
3.389 3.389 0.000
Dy Re Sn
1 1 1
Direct
0.000 0.000 0.000
0.250 0.250 0.250
0.750 0.750 0.750
```

Results
total DFT energy (no corrections): -5.8949 eV per atom
space-group type: F-43m, No. 216
ρ: 9.97 g/cm3

---

Record 10
DFT (GGA-PBE) results for a geometry-optimized SrDyRe structure.

Geometry as POSCAR:
```
SrDyRe
1.0
0.964 1.297 4.695
-3.577 -0.265 3.434
0.211 -3.473 3.542
Dy Re Sr
1 1 1
Direct
0.000 0.000 0.000
0.250 0.250 0.250
0.750 0.750 0.750
```

Results
total DFT energy (no corrections): -4.7917 eV per atom
space-group type: F-43m, No. 216
ρ: 8.37 g/cm3

---

Record 11
DFT (GGA-PBE) results for a geometry-optimized DyReTc structure.

Geometry as POSCAR:
```
DyReTc
1.0
0.000 3.159 3.159
3.159 0.000 3.159
3.159 3.159 0.000
Dy Re Tc
1 1 1
Direct
0.000 0.000 0.000
0.250 0.250 0.250
0.750 0.750 0.750
```

Results
energy of formation from the pure elements: 1751 meV/atom
total DFT energy (no corrections): -7.3771 eV per atom
space-group type: F-43m, No. 216
ρ: 11.76 g/cm3

---

Record 12
DFT (GGA-PBE) results for a geometry-optimized DyReTe structure.

Geometry as POSCAR:
```
DyReTe
1.0
-1.552 2.006 4.090
-4.134 -1.466 1.982
0.058 -2.530 4.094
Dy Re Te
1 1 1
Direct
0.000 0.000 0.000
0.250 0.250 0.250
0.750 0.750 0.750
```

Results
total DFT energy (no corrections): -5.8147 eV per atom
space-group type: F-43m, No. 216
energy relative to the lowest polymorph listed for this composition: 364 meV/atom
ρ: 10.03 g/cm3

---

Record 13
DFT (GGA-PBE) results for a geometry-optimized DyReTe structure.

Geometry as POSCAR:
```
DyReTe
1.0
3.103 2.212 2.741
-1.077 0.954 4.468
2.135 -2.322 3.476
Dy Re Te
1 1 1
Direct
0.250 0.250 0.250
0.750 0.750 0.750
0.000 0.000 0.000
```

Results
total DFT energy (no corrections): -6.1786 eV per atom
space-group type: F-43m, No. 216
energy relative to the lowest polymorph listed for this composition: 0 meV/atom
ρ: 10.82 g/cm3

---

Record 14
DFT (GGA-PBE) results for a geometry-optimized Dy3Tm3ReTe2 structure.

Geometry as POSCAR:
```
Dy3Tm3ReTe2
1.0
8.230 0.000 0.000
-4.115 7.127 0.000
0.000 0.000 4.117
Dy Re Te Tm
3 1 2 3
Direct
0.759 0.000 0.500
0.241 0.241 0.500
0.000 0.759 0.500
0.000 0.000 0.000
0.667 0.333 0.500
0.333 0.667 0.500
0.385 0.000 0.000
0.000 0.385 0.000
0.615 0.615 0.000
```

Results
total DFT energy (no corrections): -5.6921 eV per atom
space-group type: P-62m, No. 189
energy relative to the lowest polymorph listed for this composition: 59 meV/atom
ρ: 9.87 g/cm3

---

Record 15
DFT (GGA-PBE) results for a geometry-optimized Dy3Tm3ReTe2 structure.

Geometry as POSCAR:
```
Dy3Tm3ReTe2
1.0
-1.690 6.416 4.813
-4.691 -1.568 -6.536
-2.448 -2.394 2.332
Dy Re Te Tm
3 1 2 3
Direct
0.388 0.000 0.000
0.000 0.388 0.000
0.612 0.612 0.000
0.000 0.000 0.000
0.667 0.333 0.500
0.333 0.667 0.500
0.765 0.000 0.500
0.235 0.235 0.500
0.000 0.765 0.500
```

Results
total DFT energy (no corrections): -5.7511 eV per atom
space-group type: P-62m, No. 189
energy relative to the lowest polymorph listed for this composition: 0 meV/atom
ρ: 9.89 g/cm3

---

Record 16
DFT (GGA-PBE) results for a geometry-optimized DyTmRe structure.

Geometry as POSCAR:
```
DyTmRe
1.0
0.000 3.353 3.353
3.353 0.000 3.353
3.353 3.353 0.000
Dy Re Tm
1 1 1
Direct
0.250 0.250 0.250
0.750 0.750 0.750
0.000 0.000 0.000
```

Results
energy of formation from the pure elements: 1104 meV/atom
total DFT energy (no corrections): -6.0622 eV per atom
space-group type: F-43m, No. 216
energy relative to the lowest polymorph listed for this composition: 0 meV/atom
ρ: 11.40 g/cm3

---

Record 17
DFT (GGA-PBE) results for a geometry-optimized DyZnRe structure.

Geometry as POSCAR:
```
DyZnRe
1.0
0.000 3.138 3.138
3.138 0.000 3.138
3.138 3.138 0.000
Dy Re Zn
1 1 1
Direct
0.250 0.250 0.250
0.750 0.750 0.750
0.000 0.000 0.000
```

Results
energy of formation from the pure elements: 612 meV/atom
total DFT energy (no corrections): -5.4843 eV per atom
space-group type: F-43m, No. 216
ρ: 11.13 g/cm3

---

Record 18
DFT (GGA-PBE) results for a geometry-optimized DyS2 structure.

Geometry as POSCAR:
```
DyS2
1.0
3.185 -2.380 3.791
2.211 3.022 4.021
-1.810 -0.546 5.159
Dy S
2 4
Direct
0.000 0.000 0.000
0.250 0.250 0.250
0.625 0.625 0.125
0.625 0.125 0.625
0.125 0.625 0.625
0.625 0.625 0.625
```

Results
total DFT energy (no corrections): -4.3464 eV per atom
space-group type: Fd-3m, No. 227
ρ: 6.42 g/cm3

---

Record 19
DFT (GGA-PBE) results for a geometry-optimized DyS structure.

Geometry as POSCAR:
```
DyS
1.0
2.302 1.136 3.471
-1.994 0.812 3.742
0.415 -2.744 3.307
Dy S
1 1
Direct
0.000 0.000 0.000
0.250 0.250 0.250
```

Results
total DFT energy (no corrections): -5.9260 eV per atom
space-group type: F-43m, No. 216
ρ: 5.68 g/cm3

---

Record 20
DFT (GGA-PBE) results for a geometry-optimized DyS2 structure.

Geometry as POSCAR:
```
DyS2
1.0
-0.965 -0.222 4.504
-2.151 3.514 2.073
-4.368 -0.475 1.402
Dy S
1 2
Direct
0.000 0.000 0.000
0.250 0.250 0.250
0.750 0.750 0.750
```

Results
total DFT energy (no corrections): -5.6965 eV per atom
space-group type: Fm-3m, No. 225
ρ: 5.42 g/cm3